1.
Compound: BeBiPt3
Source: Alexandria
Functional: PBE
Structure: relaxed

```
data_BeBiPt3
_space_group_name_H-M_alt 'P 1'
_space_group_IT_number 1
_cell_length_a 5.6774
_cell_length_b 5.4587
_cell_length_c 5.8591
_cell_angle_alpha 90.00
_cell_angle_beta 90.07
_cell_angle_gamma 90.00
loop_
_space_group_symop_operation_xyz
'x,y,z'
loop_
_atom_site_label
_atom_site_type_symbol
_atom_site_fract_x
_atom_site_fract_y
_atom_site_fract_z
_atom_site_occupancy
Be1 Be 0.0002 0.2500 0.2326 1
Be2 Be 0.9998 0.7500 0.7674 1
Bi1 Bi 0.4993 0.2500 0.6627 1
Bi2 Bi 0.5007 0.7500 0.3373 1
Pt1 Pt 0.9995 0.2500 0.6152 1
Pt2 Pt 0.0005 0.7500 0.3848 1
Pt3 Pt 0.2432 0.0000 0.0001 1
Pt4 Pt 0.2432 0.5000 0.0001 1
Pt5 Pt 0.7568 0.0000 0.9999 1
Pt6 Pt 0.7568 0.5000 0.9999 1
```

Crystal system   monoclinic
Energy relative to the elements   -0.233 eV/atom
Distance to the lowest polymorph of the same formula   199 meV per atom

2.
Compound: NaLuGeO4
Source: Alexandria
Functional: PBE
Structure: relaxed

```
data_NaLuGeO4
_space_group_name_H-M_alt 'P 1'
_space_group_IT_number 1
_cell_length_a 11.3211
_cell_length_b 6.3756
_cell_length_c 5.2827
_cell_angle_alpha 90.00
_cell_angle_beta 90.00
_cell_angle_gamma 90.00
loop_
_space_group_symop_operation_xyz
'x,y,z'
loop_
_atom_site_label
_atom_site_type_symbol
_atom_site_fract_x
_atom_site_fract_y
_atom_site_fract_z
_atom_site_occupancy
Na1 Na 0.0000 0.0000 0.0000 1
Na2 Na 0.0000 0.5000 0.0000 1
Na3 Na 0.5000 0.0000 0.5000 1
Na4 Na 0.5000 0.5000 0.5000 1
Lu1 Lu 0.2234 0.2500 0.4935 1
Lu2 Lu 0.2766 0.7500 0.9935 1
Lu3 Lu 0.7234 0.2500 0.0065 1
Lu4 Lu 0.7766 0.7500 0.5065 1
Ge1 Ge 0.0990 0.7500 0.5502 1
Ge2 Ge 0.4010 0.2500 0.0502 1
Ge3 Ge 0.5990 0.7500 0.9498 1
Ge4 Ge 0.9010 0.2500 0.4498 1
O1 O 0.0470 0.2500 0.3333 1
O2 O 0.1130 0.7500 0.2214 1
O3 O 0.1773 0.5396 0.7078 1
O4 O 0.1773 0.9604 0.7078 1
O5 O 0.3227 0.0396 0.2078 1
O6 O 0.3227 0.4604 0.2078 1
O7 O 0.3870 0.2500 0.7214 1
O8 O 0.4530 0.7500 0.8333 1
O9 O 0.5470 0.2500 0.1667 1
O10 O 0.6130 0.7500 0.2786 1
O11 O 0.6773 0.5396 0.7922 1
O12 O 0.6773 0.9604 0.7922 1
O13 O 0.8227 0.0396 0.2922 1
O14 O 0.8227 0.4604 0.2922 1
O15 O 0.8870 0.2500 0.7786 1
O16 O 0.9530 0.7500 0.6667 1
```

Crystal system   orthorhombic
Total energy   -191.39 eV/cell

3.
Compound: La3Dy2Y8
Source: Alexandria
Functional: PBE
Structure: relaxed

```
data_La3Dy2Y8
_space_group_name_H-M_alt 'P 1'
_space_group_IT_number 1
_cell_length_a 6.3598
_cell_length_b 8.1982
_cell_length_c 17.8739
_cell_angle_alpha 78.52
_cell_angle_beta 84.76
_cell_angle_gamma 74.24
loop_
_space_group_symop_operation_xyz
'x,y,z'
loop_
_atom_site_label
_atom_site_type_symbol
_atom_site_fract_x
_atom_site_fract_y
_atom_site_fract_z
_atom_site_occupancy
La1 La 0.0000 0.0000 0.0000 1
La2 La 0.0000 0.0000 0.5000 1
La3 La 0.4099 0.6266 0.2361 1
La4 La 0.4933 0.8207 0.6937 1
La5 La 0.5067 0.1793 0.3063 1
La6 La 0.5901 0.3734 0.7639 1
Dy1 Dy 0.1288 0.5003 0.4157 1
Dy2 Dy 0.2623 0.0851 0.1495 1
Dy3 Dy 0.7377 0.9149 0.8505 1
Dy4 Dy 0.8712 0.4997 0.5843 1
Y1 Y 0.0354 0.6101 0.7401 1
Y2 Y 0.1059 0.9421 0.3312 1
Y3 Y 0.1330 0.5404 0.0758 1
Y4 Y 0.1734 0.1478 0.8002 1
Y5 Y 0.3021 0.6890 0.8868 1
Y6 Y 0.3364 0.6211 0.5633 1
Y7 Y 0.3696 0.1959 0.5818 1
Y8 Y 0.4287 0.2309 0.9594 1
Y9 Y 0.5713 0.7691 0.0406 1
Y10 Y 0.6304 0.8041 0.4182 1
Y11 Y 0.6636 0.3789 0.4367 1
Y12 Y 0.6979 0.3110 0.1132 1
Y13 Y 0.8266 0.8522 0.1998 1
Y14 Y 0.8670 0.4596 0.9242 1
Y15 Y 0.8941 0.0579 0.6688 1
Y16 Y 0.9646 0.3899 0.2599 1
```

Crystal system   triclinic
Energy relative to the elements   0.129 eV/atom
Distance to the lowest polymorph of the same formula   99 meV per atom

4.
Compound: PmTmOsRh
Source: Alexandria
Functional: PBE
Structure: relaxed

```
data_PmTmOsRh
_space_group_name_H-M_alt 'P 1'
_space_group_IT_number 1
_cell_length_a 4.8647
_cell_length_b 4.8647
_cell_length_c 4.8647
_cell_angle_alpha 60.00
_cell_angle_beta 60.00
_cell_angle_gamma 60.00
loop_
_space_group_symop_operation_xyz
'x,y,z'
loop_
_atom_site_label
_atom_site_type_symbol
_atom_site_fract_x
_atom_site_fract_y
_atom_site_fract_z
_atom_site_occupancy
Pm1 Pm 0.0000 0.0000 0.0000 1
Tm1 Tm 0.5000 0.5000 0.5000 1
Os1 Os 0.2500 0.2500 0.2500 1
Rh1 Rh 0.7500 0.7500 0.7500 1
```

Crystal system   cubic
Energy relative to the elements   -0.396 eV/atom

5.
Compound: AcHo2ReN4
Source: Alexandria
Functional: PBE
Structure: relaxed

```
data_AcHo2ReN4
_space_group_name_H-M_alt 'P 1'
_space_group_IT_number 1
_cell_length_a 6.2420
_cell_length_b 6.2420
_cell_length_c 11.9319
_cell_angle_alpha 90.00
_cell_angle_beta 90.00
_cell_angle_gamma 147.24
loop_
_space_group_symop_operation_xyz
'x,y,z'
loop_
_atom_site_label
_atom_site_type_symbol
_atom_site_fract_x
_atom_site_fract_y
_atom_site_fract_z
_atom_site_occupancy
Ac1 Ac 0.0805 0.9195 0.7500 1
Ac2 Ac 0.9195 0.0805 0.2500 1
Ho1 Ho 0.3694 0.6306 0.5419 1
Ho2 Ho 0.3694 0.6306 0.9581 1
Ho3 Ho 0.6306 0.3694 0.0419 1
Ho4 Ho 0.6306 0.3694 0.4581 1
Re1 Re 0.1766 0.8234 0.2500 1
Re2 Re 0.8234 0.1766 0.7500 1
N1 N 0.0000 0.0000 0.0000 1
N2 N 0.0000 0.0000 0.5000 1
N3 N 0.2600 0.7400 0.1127 1
N4 N 0.2600 0.7400 0.3873 1
N5 N 0.4092 0.5908 0.7500 1
N6 N 0.5908 0.4092 0.2500 1
N7 N 0.7400 0.2600 0.6127 1
N8 N 0.7400 0.2600 0.8873 1
```

Crystal system   orthorhombic
Total energy   -134.54 eV/cell

6.
Compound: NpBiRh4
Source: Alexandria
Functional: PBE
Structure: relaxed

```
data_NpBiRh4
_space_group_name_H-M_alt 'P 1'
_space_group_IT_number 1
_cell_length_a 5.3316
_cell_length_b 5.3316
_cell_length_c 5.3316
_cell_angle_alpha 60.00
_cell_angle_beta 60.00
_cell_angle_gamma 60.00
loop_
_space_group_symop_operation_xyz
'x,y,z'
loop_
_atom_site_label
_atom_site_type_symbol
_atom_site_fract_x
_atom_site_fract_y
_atom_site_fract_z
_atom_site_occupancy
Np1 Np 0.0000 0.0000 0.0000 1
Bi1 Bi 0.7500 0.7500 0.7500 1
Rh1 Rh 0.3753 0.3753 0.3753 1
Rh2 Rh 0.3753 0.3753 0.8742 1
Rh3 Rh 0.3753 0.8742 0.3753 1
Rh4 Rh 0.8742 0.3753 0.3753 1
```

Crystal system   cubic
Energy relative to the elements   -0.188 eV/atom

7.
Compound: Sr2TiBr
Source: Alexandria
Functional: PBE
Structure: relaxed

```
data_Sr2TiBr
_space_group_name_H-M_alt 'P 1'
_space_group_IT_number 1
_cell_length_a 5.8800
_cell_length_b 5.8800
_cell_length_c 5.8800
_cell_angle_alpha 60.00
_cell_angle_beta 60.00
_cell_angle_gamma 60.00
loop_
_space_group_symop_operation_xyz
'x,y,z'
loop_
_atom_site_label
_atom_site_type_symbol
_atom_site_fract_x
_atom_site_fract_y
_atom_site_fract_z
_atom_site_occupancy
Sr1 Sr 0.2500 0.2500 0.2500 1
Sr2 Sr 0.7500 0.7500 0.7500 1
Ti1 Ti 0.0000 0.0000 0.0000 1
Br1 Br 0.5000 0.5000 0.5000 1
```

Crystal system   cubic
Distance to the lowest polymorph of the same formula   76 meV per atom

8.
Compound: ZrTl2Br
Source: Alexandria
Functional: PBE
Structure: relaxed

```
data_ZrTl2Br
_space_group_name_H-M_alt 'P 1'
_space_group_IT_number 1
_cell_length_a 5.5634
_cell_length_b 5.5634
_cell_length_c 3.3797
_cell_angle_alpha 90.00
_cell_angle_beta 90.00
_cell_angle_gamma 90.00
loop_
_space_group_symop_operation_xyz
'x,y,z'
loop_
_atom_site_label
_atom_site_type_symbol
_atom_site_fract_x
_atom_site_fract_y
_atom_site_fract_z
_atom_site_occupancy
Zr1 Zr 0.0000 0.0000 0.0000 1
Tl1 Tl 0.0000 0.5000 0.5000 1
Tl2 Tl 0.5000 0.0000 0.5000 1
Br1 Br 0.5000 0.5000 0.0000 1
```

Crystal system   tetragonal
Distance to the lowest polymorph of the same formula   350 meV per atom

9.
Compound: Pm3SnO2
Source: Alexandria
Functional: PBE
Structure: relaxed

```
data_Pm3SnO2
_space_group_name_H-M_alt 'P 1'
_space_group_IT_number 1
_cell_length_a 7.3162
_cell_length_b 7.3162
_cell_length_c 5.6200
_cell_angle_alpha 90.00
_cell_angle_beta 90.00
_cell_angle_gamma 102.24
loop_
_space_group_symop_operation_xyz
'x,y,z'
loop_
_atom_site_label
_atom_site_type_symbol
_atom_site_fract_x
_atom_site_fract_y
_atom_site_fract_z
_atom_site_occupancy
Pm1 Pm 0.0997 0.9003 0.7500 1
Pm2 Pm 0.1904 0.4053 0.7500 1
Pm3 Pm 0.4053 0.1904 0.2500 1
Pm4 Pm 0.5947 0.8096 0.7500 1
Pm5 Pm 0.8096 0.5947 0.2500 1
Pm6 Pm 0.9003 0.0997 0.2500 1
Sn1 Sn 0.3113 0.6887 0.2500 1
Sn2 Sn 0.6887 0.3113 0.7500 1
O1 O 0.1564 0.1564 0.0000 1
O2 O 0.1564 0.1564 0.5000 1
O3 O 0.8436 0.8436 0.0000 1
O4 O 0.8436 0.8436 0.5000 1
```

Crystal system   orthorhombic
Total energy   -82.01 eV/cell

10.
Compound: ZnAg2As2
Source: Alexandria
Functional: PBE
Structure: relaxed

```
data_ZnAg2As2
_space_group_name_H-M_alt 'P 1'
_space_group_IT_number 1
_cell_length_a 7.6888
_cell_length_b 7.6888
_cell_length_c 7.6888
_cell_angle_alpha 151.84
_cell_angle_beta 151.84
_cell_angle_gamma 40.24
loop_
_space_group_symop_operation_xyz
'x,y,z'
loop_
_atom_site_label
_atom_site_type_symbol
_atom_site_fract_x
_atom_site_fract_y
_atom_site_fract_z
_atom_site_occupancy
Zn1 Zn 0.0000 0.0000 0.0000 1
Ag1 Ag 0.4070 0.4070 0.0000 1
Ag2 Ag 0.5930 0.5930 0.0000 1
As1 As 0.2500 0.7500 0.5000 1
As2 As 0.7500 0.2500 0.5000 1
```

Crystal system   tetragonal
Energy relative to the elements   0.272 eV/atom
Distance to the lowest polymorph of the same formula   94 meV per atom

11.
Compound: ScTa2AlO
Source: Alexandria
Functional: PBE
Structure: relaxed

```
data_ScTa2AlO
_space_group_name_H-M_alt 'P 1'
_space_group_IT_number 1
_cell_length_a 4.7179
_cell_length_b 4.7179
_cell_length_c 4.9479
_cell_angle_alpha 90.00
_cell_angle_beta 90.00
_cell_angle_gamma 90.00
loop_
_space_group_symop_operation_xyz
'x,y,z'
loop_
_atom_site_label
_atom_site_type_symbol
_atom_site_fract_x
_atom_site_fract_y
_atom_site_fract_z
_atom_site_occupancy
Sc1 Sc 0.0000 0.0000 0.0000 1
Ta1 Ta 0.0000 0.5000 0.0000 1
Ta2 Ta 0.5000 0.0000 0.0000 1
Al1 Al 0.0000 0.0000 0.5000 1
O1 O 0.5000 0.5000 0.5000 1
```

Crystal system   tetragonal
Total energy   -28.45 eV/cell

12.
Compound: Re3Ag
Source: Alexandria
Functional: PBE
Structure: relaxed

```
data_Re3Ag
_space_group_name_H-M_alt 'P 1'
_space_group_IT_number 1
_cell_length_a 4.8194
_cell_length_b 4.8194
_cell_length_c 4.8194
_cell_angle_alpha 131.60
_cell_angle_beta 131.60
_cell_angle_gamma 70.86
loop_
_space_group_symop_operation_xyz
'x,y,z'
loop_
_atom_site_label
_atom_site_type_symbol
_atom_site_fract_x
_atom_site_fract_y
_atom_site_fract_z
_atom_site_occupancy
Re1 Re 0.0000 0.0000 0.0000 1
Re2 Re 0.2500 0.7500 0.5000 1
Re3 Re 0.7500 0.2500 0.5000 1
Ag1 Ag 0.5000 0.5000 0.0000 1
```

Crystal system   tetragonal
Energy relative to the elements   0.569 eV/atom
Distance to the lowest polymorph of the same formula   293 meV per atom